(1)
# SCAN MgOs2N, single point on PBEsol structure
data_MgOs2N
_space_group_name_H-M_alt 'F m -3 m'
_space_group_IT_number 225
_space_group_name_Hall '-F 4 2 3'
_cell_length_a 5.842
_cell_length_b 5.842
_cell_length_c 5.842
_cell_angle_alpha 90.00
_cell_angle_beta 90.00
_cell_angle_gamma 90.00
loop_
_atom_site_label
_atom_site_type_symbol
_atom_site_fract_x
_atom_site_fract_y
_atom_site_fract_z
Mg1 Mg 0.000 0.000 0.000
Os1 Os 0.250 0.250 0.250
N1 N 0.000 0.000 0.500
# Raw total energy in eV per cell: -604.33
# Formation energy from raw total energies in eV/atom: 1.735
# Spin magnetization in μB per formula unit: 0.000

(2)
# SCAN MgOsSe2N, single point on PBEsol structure
data_MgOsSe2N
_space_group_name_H-M_alt 'P 4/m m m'
_space_group_IT_number 123
_space_group_name_Hall '-P 4 2'
_cell_length_a 4.871
_cell_length_b 4.871
_cell_length_c 3.651
_cell_angle_alpha 90.00
_cell_angle_beta 90.00
_cell_angle_gamma 90.00
loop_
_atom_site_label
_atom_site_type_symbol
_atom_site_fract_x
_atom_site_fract_y
_atom_site_fract_z
Mg1 Mg 0.000 0.000 0.000
Os1 Os 0.500 0.500 0.500
Se1 Se 0.000 0.500 0.000
N1 N 0.000 0.000 0.500
# Raw total energy in eV per cell: -119.19
# Formation energy from raw total energies in eV/atom: 1.422
# Spin magnetization in μB per formula unit: 3.579

(3)
# SCAN MgSi2PN, single point on PBEsol structure
data_MgSi2PN
_space_group_name_H-M_alt 'P 4/m m m'
_space_group_IT_number 123
_space_group_name_Hall '-P 4 2'
_cell_length_a 4.913
_cell_length_b 4.913
_cell_length_c 4.618
_cell_angle_alpha 90.00
_cell_angle_beta 90.00
_cell_angle_gamma 90.00
loop_
_atom_site_label
_atom_site_type_symbol
_atom_site_fract_x
_atom_site_fract_y
_atom_site_fract_z
Mg1 Mg 0.000 0.000 0.000
Si1 Si 0.000 0.500 0.000
P1 P 0.000 0.000 0.500
N1 N 0.500 0.500 0.500
# Raw total energy in eV per cell: -34.30
# Formation energy from raw total energies in eV/atom: 2.080
# Spin magnetization in μB per formula unit: 2.642

- Among the records above, which one has the lowest spin magnetization?
  MgOs2N

- The lowest spin magnetization belongs to which entry?
  MgOs2N